First-principles (SCAN) data for a PBEsol-optimized structure of ZrAlRe, as listed in the Alexandria database.

a b c (Å): 3.302 4.567 13.300
angles (deg): 90.00 90.00 90.00
Space group Fmm2 (No. 42)
Inequivalent atoms, fractional coordinates:
Zr: 0.000 0.000 0.000 x4
Al: 0.000 0.000 0.681 x4
Re: 0.000 0.000 0.332 x4

Computed properties:
crystal system: orthorhombic
energy above the lowest structure with this stoichiometry: 0.00 kJ per mole of atoms
total magnetic moment: 0.00 Bohr magnetons per cell
energy of formation: -0.153 eV per atom